Entry 1:
! Sr2MgZnH6 (PBE-GGA, relaxed); values from VASP
&SYSTEM
  ibrav = 0, nat = 10, ntyp = 4
/
ATOMIC_SPECIES
Sr 87.62 Sr.upf
Mg 24.30 Mg.upf
Zn 65.41 Zn.upf
H 1.01 H.upf
CELL_PARAMETERS angstrom
0.000 3.958 3.958
3.958 0.000 3.958
3.958 3.958 0.000
ATOMIC_POSITIONS angstrom
Sr 1.979 1.979 1.979
Sr 5.937 5.937 5.937
Mg 0.000 0.000 0.000
Zn 3.958 3.958 3.958
H 3.958 3.958 2.015
H 3.958 2.015 3.958
H 5.901 3.958 3.958
H 2.015 3.958 3.958
H 3.958 5.901 3.958
H 3.958 3.958 5.901
! Energy ... -27.90 eV per cell

=====

Entry 2:
! TmMg2H6 (PBE-GGA, relaxed); values from VASP
&SYSTEM
  ibrav = 0, nat = 9, ntyp = 3
/
ATOMIC_SPECIES
Tm 168.93 Tm.upf
Mg 24.30 Mg.upf
H 1.01 H.upf
CELL_PARAMETERS angstrom
3.486 0.000 0.000
0.000 3.486 0.000
0.000 0.000 7.882
ATOMIC_POSITIONS angstrom
Tm 0.000 0.000 0.000
Mg 1.743 1.743 2.192
Mg 1.743 1.743 5.690
H 0.000 1.743 1.437
H 0.000 1.743 6.445
H 1.743 0.000 1.437
H 1.743 0.000 6.445
H 1.743 1.743 0.000
H 1.743 1.743 3.941
! Energy ... -29.93 eV per cell

=====

Entry 3:
! MgZn2H6 (PBE-GGA, relaxed); values from VASP
&SYSTEM
  ibrav = 0, nat = 9, ntyp = 3
/
ATOMIC_SPECIES
Mg 24.30 Mg.upf
Zn 65.41 Zn.upf
H 1.01 H.upf
CELL_PARAMETERS angstrom
0.000 3.287 3.287
3.287 0.000 3.287
3.287 3.287 0.000
ATOMIC_POSITIONS angstrom
Mg 0.000 0.000 0.000
Zn 1.643 1.643 1.643
Zn 4.930 4.930 4.930
H 3.287 3.287 1.848
H 3.287 1.848 3.287
H 4.726 3.287 3.287
H 1.848 3.287 3.287
H 3.287 4.726 3.287
H 3.287 3.287 4.726
! Energy ... -18.51 eV per cell

=====

Entry 4:
! MoH6 (PBE-GGA, relaxed); values from VASP
&SYSTEM
  ibrav = 0, nat = 7, ntyp = 2
/
ATOMIC_SPECIES
Mo 95.94 Mo.upf
H 1.01 H.upf
CELL_PARAMETERS angstrom
-2.356 2.356 2.356
2.356 -2.356 2.356
2.356 2.356 -2.356
ATOMIC_POSITIONS angstrom
Mo 0.000 0.000 0.000
H 1.910 0.000 0.000
H 2.801 0.000 0.000
H 0.000 1.910 0.000
H 0.000 0.000 1.910
H 0.000 2.801 0.000
H 0.000 0.000 2.801
! Energy ... -25.36 eV per cell